1.
DFT (PBE) results for a relaxed SrSmSb crystal.

```
SrSmSb
1.0
-0.400 2.256 4.887
2.431 4.713 1.004
-2.951 4.468 0.677
Sb Sm Sr
1 1 1
Cartesian
-0.230 2.859 1.642 Sb
0.000 0.000 0.000 Sm
-0.690 8.578 4.926 Sr
```

Results
VASP energy	-10.68	eV per cell
volume	37.1	Å³/atom

***

2.
DFT (PBE) results for a relaxed SmTaSb crystal.

```
SmTaSb
1.0
-1.864 3.718 2.885
-0.083 4.753 -1.739
-4.407 2.176 -1.211
Sb Sm Ta
1 1 1
Cartesian
-1.589 2.662 -0.016 Sb
0.000 0.000 0.000 Sm
-4.766 7.985 -0.048 Ta
```

Results
volume	30.6	Å³/atom
energy above the lowest structure with this stoichiometry	668.5	meV per atom

***

3.
DFT (PBE) results for a relaxed SmTaSb crystal.

```
SmTaSb
1.0
4.658 1.309 0.329
1.212 4.092 2.303
2.281 -0.208 4.274
Ta Sm Sb
1 1 1
Cartesian
6.113 3.895 5.179 Ta
2.038 1.298 1.726 Sm
0.000 0.000 0.000 Sb
```

Results
volume	26.9	Å³/atom
energy above the lowest structure with this stoichiometry	0.0	meV per atom

***

4.
DFT (PBE) results for a relaxed Tb2SmSb3 crystal.

```
Tb2SmSb3
1.0
4.420 0.000 0.000
-2.210 3.828 0.000
0.000 0.000 10.837
Sb Tb Sm
3 2 1
Cartesian
0.000 2.552 3.576 Sb
2.210 1.276 7.261 Sb
0.000 0.000 0.000 Sb
0.000 2.552 9.046 Tb
2.210 1.276 1.791 Tb
0.000 0.000 5.418 Sm
```

Results
VASP energy	-33.29	eV per cell
volume	30.6	Å³/atom

***

5.
DFT (PBE) results for a relaxed Tb2Sm3Sb3 crystal.

```
Tb2Sm3Sb3
1.0
9.118 0.000 0.000
-4.559 7.897 0.000
0.000 0.000 6.400
Tb Sb Sm
4 6 6
Cartesian
4.559 2.632 3.200 Tb
0.000 5.265 3.200 Tb
0.000 5.265 0.000 Tb
4.559 2.632 0.000 Tb
2.779 4.813 1.600 Sb
-2.779 4.813 4.800 Sb
3.561 0.000 1.600 Sb
5.557 0.000 4.800 Sb
-1.781 3.084 1.600 Sb
1.781 3.084 4.800 Sb
-3.428 5.938 1.600 Sm
2.262 0.000 4.800 Sm
1.131 1.959 1.600 Sm
3.428 5.938 4.800 Sm
-1.131 1.959 4.800 Sm
6.857 0.000 1.600 Sm
```

Results
VASP energy	-86.90	eV per cell
volume	28.8	Å³/atom

***

6.
DFT (PBE) results for a relaxed TbSmSb2 crystal.

```
TbSmSb2
1.0
-2.282 -1.616 3.440
-1.334 -3.416 -2.490
5.032 -3.276 1.799
Sb Tb Sm
2 1 1
Cartesian
2.516 -1.638 0.899 Sb
-1.808 -2.516 0.475 Sb
0.709 -4.154 1.374 Tb
0.000 0.000 0.000 Sm
```

Results
VASP energy	-22.23	eV per cell
volume	30.8	Å³/atom

***

Q: Which of these has the highest volume?
A: SrSmSb